5
Lattice="3.843 0.000 0.000 0.000 3.843 0.000 0.000 0.000 3.757" Properties=species:S:1:pos:R:3 comment="GaNiO2F, relaxed, DFT GGA+U" spacegroup="No. 123" total_magnetization_mub_per_cell=1.42 dft_energy_ev_per_cell=-21.364 dos_at_fermi_per_ev_atom=0.22 density_g_cm3=5.4 pbc="T T T"
Ni 0.000 0.000 0.000
O 0.000 1.922 0.000
O 1.922 0.000 0.000
Ga 1.922 1.922 1.879
F 0.000 0.000 1.879